8
Lattice="-0.014 -3.023 4.219 3.729 -0.167 3.085 -2.362 1.209 4.050" Properties=species:S:1:pos:R:3 comment="CeNi2PN4 (PBE-GGA, relaxed)" e_tot_ev_per_atom=-7.600 e_form_raw_kj_per_mol_fu=-443 pbc="T T T"
Ce 0.000 0.000 0.000
Ni 2.197 -1.334 5.436
Ni -0.845 -0.647 5.918
P 0.683 0.521 3.568
N -0.019 -0.984 7.697
N -0.518 -0.570 3.957
N 1.376 0.116 2.105
N 1.865 -2.523 8.950